# Y6Al2Zn PBE optimized geometry
# Calculated formation energy, kcal/mol of atoms: -4.0
# V, Å³ per atom: 27.67
# E_tot, eV/f.u.: -49.11
data_Y6Al2Zn
_symmetry_space_group_name_H-M 'P 1'
_symmetry_Int_Tables_number 1
_symmetry_space_group_name_Hall 'P 1'
_cell_length_a 6.0573
_cell_length_b 8.6141
_cell_length_c 9.5822
_cell_angle_alpha 90.00
_cell_angle_beta 84.92
_cell_angle_gamma 90.00
loop_
_atom_site_label
_atom_site_type_symbol
_atom_site_fract_x
_atom_site_fract_y
_atom_site_fract_z
Y1 Y 0.3929 0.8306 0.0640
Y2 Y 0.1078 0.0289 0.7895
Y3 Y 0.6078 0.4711 0.2895
Y4 Y 0.0844 0.3247 0.0619
Y5 Y 0.8929 0.6694 0.5640
Y6 Y 0.6071 0.1694 0.9360
Y7 Y 0.1071 0.3306 0.4360
Y8 Y 0.4156 0.8247 0.4381
Y9 Y 0.3922 0.5289 0.7105
Y10 Y 0.5844 0.1753 0.5619
Y11 Y 0.9156 0.6753 0.9381
Y12 Y 0.8922 0.9711 0.2105
Zn1 Zn 0.0000 0.0000 0.5000
Zn2 Zn 0.5000 0.5000 0.0000
Al1 Al 0.4237 0.1310 0.2501
Al2 Al 0.5763 0.8690 0.7499
Al3 Al 0.0763 0.6310 0.2499
Al4 Al 0.9237 0.3690 0.7501

=====

# TiTlTc2 PBE optimized geometry
# Calculated formation energy, kcal/mol of atoms: 14.7
# Polymorph energy (0 for the lowest one), eV/atom: 0.364
# V, Å³ per atom: 19.09
# E_tot, eV/f.u.: -28.45
data_TiTlTc2
_symmetry_space_group_name_H-M 'P 1'
_symmetry_Int_Tables_number 1
_symmetry_space_group_name_Hall 'P 1'
_cell_length_a 4.0268
_cell_length_b 4.0268
_cell_length_c 9.8381
_cell_angle_alpha 78.19
_cell_angle_beta 78.19
_cell_angle_gamma 90.00
loop_
_atom_site_label
_atom_site_type_symbol
_atom_site_fract_x
_atom_site_fract_y
_atom_site_fract_z
Tl1 Tl 0.7500 0.2500 0.5000
Tl2 Tl 0.0000 0.0000 0.0000
Tc1 Tc 0.5430 0.1250 0.2500
Tc2 Tc 0.2070 0.6250 0.2500
Tc3 Tc 0.8750 0.7930 0.7500
Tc4 Tc 0.3750 0.4570 0.7500
Ti1 Ti 0.2500 0.7500 0.5000
Ti2 Ti 0.5000 0.5000 0.0000

=====

# SrLaP PBE optimized geometry
# Calculated formation energy, kcal/mol of atoms: 4.3
# Polymorph energy (0 for the lowest one), eV/atom: 1.067
# V, Å³ per atom: 29.60
# E_tot, eV/f.u.: -11.46
data_SrLaP
_symmetry_space_group_name_H-M 'P 1'
_symmetry_Int_Tables_number 1
_symmetry_space_group_name_Hall 'P 1'
_cell_length_a 7.0819
_cell_length_b 7.0819
_cell_length_c 7.0819
_cell_angle_alpha 90.00
_cell_angle_beta 90.00
_cell_angle_gamma 90.00
loop_
_atom_site_label
_atom_site_type_symbol
_atom_site_fract_x
_atom_site_fract_y
_atom_site_fract_z
La1 La 0.5000 0.5000 0.0000
La2 La 0.5000 0.0000 0.5000
La3 La 0.0000 0.5000 0.5000
La4 La 0.0000 0.0000 0.0000
Sr1 Sr 0.2500 0.7500 0.7500
Sr2 Sr 0.7500 0.7500 0.2500
Sr3 Sr 0.7500 0.2500 0.7500
Sr4 Sr 0.2500 0.2500 0.2500
P1 P 0.5000 0.5000 0.5000
P2 P 0.0000 0.0000 0.5000
P3 P 0.5000 0.0000 0.0000
P4 P 0.0000 0.5000 0.0000

=====

# TmMnRu PBE optimized geometry
# Calculated formation energy, kcal/mol of atoms: 7.3
# Polymorph energy (0 for the lowest one), eV/atom: 0.562
# V, Å³ per atom: 19.99
# E_tot, eV/f.u.: -21.96
data_TmMnRu
_symmetry_space_group_name_H-M 'P 1'
_symmetry_Int_Tables_number 1
_symmetry_space_group_name_Hall 'P 1'
_cell_length_a 6.5354
_cell_length_b 6.5354
_cell_length_c 5.6164
_cell_angle_alpha 90.00
_cell_angle_beta 90.00
_cell_angle_gamma 90.00
loop_
_atom_site_label
_atom_site_type_symbol
_atom_site_fract_x
_atom_site_fract_y
_atom_site_fract_z
Tm1 Tm 0.2657 0.2657 0.5000
Tm2 Tm 0.7343 0.7343 0.0000
Tm3 Tm 0.2343 0.7657 0.7500
Tm4 Tm 0.7657 0.2343 0.2500
Ru1 Ru 0.1888 0.1888 0.0000
Ru2 Ru 0.3112 0.6888 0.2500
Ru3 Ru 0.8112 0.8112 0.5000
Ru4 Ru 0.6888 0.3112 0.7500
Mn1 Mn 0.9372 0.0628 0.7500
Mn2 Mn 0.4372 0.4372 0.0000
Mn3 Mn 0.0628 0.9372 0.2500
Mn4 Mn 0.5628 0.5628 0.5000

=====

# Cs3RbTl8 PBE optimized geometry
# Calculated formation energy, kcal/mol of atoms: -1.9
# V, Å³ per atom: 39.36
# E_tot, eV/f.u.: -23.46
data_Cs3RbTl8
_symmetry_space_group_name_H-M 'P 1'
_symmetry_Int_Tables_number 1
_symmetry_space_group_name_Hall 'P 1'
_cell_length_a 7.1049
_cell_length_b 7.1049
_cell_length_c 10.8028
_cell_angle_alpha 90.00
_cell_angle_beta 90.00
_cell_angle_gamma 120.00
loop_
_atom_site_label
_atom_site_type_symbol
_atom_site_fract_x
_atom_site_fract_y
_atom_site_fract_z
Tl1 Tl 0.3333 0.6667 0.4915
Tl2 Tl 0.6676 0.8338 0.2522
Tl3 Tl 0.4935 0.5065 0.7482
Tl4 Tl 0.4935 0.9869 0.7482
Tl5 Tl 0.0131 0.5065 0.7482
Tl6 Tl 0.3333 0.6667 0.0110
Tl7 Tl 0.1662 0.8338 0.2522
Tl8 Tl 0.1662 0.3324 0.2522
Cs1 Cs 0.6667 0.3333 0.4437
Cs2 Cs 0.6667 0.3333 0.0554
Cs3 Cs 0.0000 0.0000 0.9378
Rb1 Rb 0.0000 0.0000 0.5594

=====

# PrSm5Sc4 PBE optimized geometry
# Calculated formation energy, kcal/mol of atoms: 7.6
# V, Å³ per atom: 30.86
# E_tot, eV/f.u.: -50.41
data_PrSm5Sc4
_symmetry_space_group_name_H-M 'P 1'
_symmetry_Int_Tables_number 1
_symmetry_space_group_name_Hall 'P 1'
_cell_length_a 6.2357
_cell_length_b 7.6947
_cell_length_c 7.6947
_cell_angle_alpha 80.55
_cell_angle_beta 66.10
_cell_angle_gamma 66.10
loop_
_atom_site_label
_atom_site_type_symbol
_atom_site_fract_x
_atom_site_fract_y
_atom_site_fract_z
Sm1 Sm 0.2001 0.8992 0.6017
Sm2 Sm 0.0993 0.6017 0.1008
Sm3 Sm 0.6802 0.0000 0.0000
Sm4 Sm 0.8017 0.3983 0.8992
Sm5 Sm 0.7010 0.1008 0.3983
Sc1 Sc 0.8126 0.6981 0.5805
Sc2 Sc 0.0912 0.3019 0.4195
Sc3 Sc 0.3931 0.4195 0.6981
Sc4 Sc 0.5107 0.5805 0.3019
Pr1 Pr 0.2204 0.0000 0.0000

=====

# CuRe2Pb PBE optimized geometry
# Calculated formation energy, kcal/mol of atoms: 22.3
# Polymorph energy (0 for the lowest one), eV/atom: 0.484
# V, Å³ per atom: 16.72
# E_tot, eV/f.u.: -28.84
data_CuRe2Pb
_symmetry_space_group_name_H-M 'P 1'
_symmetry_Int_Tables_number 1
_symmetry_space_group_name_Hall 'P 1'
_cell_length_a 4.5244
_cell_length_b 3.8444
_cell_length_c 3.8444
_cell_angle_alpha 90.00
_cell_angle_beta 90.00
_cell_angle_gamma 90.00
loop_
_atom_site_label
_atom_site_type_symbol
_atom_site_fract_x
_atom_site_fract_y
_atom_site_fract_z
Cu1 Cu 0.5000 0.5000 0.0000
Re1 Re 0.0000 0.0000 0.0000
Re2 Re 0.0000 0.5000 0.5000
Pb1 Pb 0.5000 0.0000 0.5000

=====

# FePbBr2 PBE optimized geometry
# Polymorph energy (0 for the lowest one), eV/atom: 0.441
# V, Å³ per atom: 26.70
# E_tot, eV/f.u.: -14.48
data_FePbBr2
_symmetry_space_group_name_H-M 'P 1'
_symmetry_Int_Tables_number 1
_symmetry_space_group_name_Hall 'P 1'
_cell_length_a 3.5987
_cell_length_b 6.2629
_cell_length_c 4.7390
_cell_angle_alpha 90.00
_cell_angle_beta 90.00
_cell_angle_gamma 90.00
loop_
_atom_site_label
_atom_site_type_symbol
_atom_site_fract_x
_atom_site_fract_y
_atom_site_fract_z
Pb1 Pb 0.0000 0.5000 0.5000
Br1 Br 0.5000 0.5000 0.0000
Br2 Br 0.0000 0.0000 0.0000
Fe1 Fe 0.5000 0.0000 0.5000

=====

# YBe4IrPt2 PBE optimized geometry
# Calculated formation energy, kcal/mol of atoms: -16.4
# V, Å³ per atom: 13.54
# E_tot, eV/f.u.: -48.01
data_YBe4IrPt2
_symmetry_space_group_name_H-M 'P 1'
_symmetry_Int_Tables_number 1
_symmetry_space_group_name_Hall 'P 1'
_cell_length_a 3.9343
_cell_length_b 3.9343
_cell_length_c 8.3927
_cell_angle_alpha 76.44
_cell_angle_beta 76.44
_cell_angle_gamma 60.00
loop_
_atom_site_label
_atom_site_type_symbol
_atom_site_fract_x
_atom_site_fract_y
_atom_site_fract_z
Be1 Be 0.1353 0.1353 0.5942
Be2 Be 0.5918 0.5918 0.2246
Be3 Be 0.8647 0.8647 0.4058
Be4 Be 0.4082 0.4082 0.7754
Pt1 Pt 0.2429 0.2429 0.2712
Pt2 Pt 0.7571 0.7571 0.7288
Y1 Y 0.0000 0.0000 0.0000
Ir1 Ir 0.5000 0.5000 0.5000

=====

# PmThMg PBE optimized geometry
# Calculated formation energy, kcal/mol of atoms: 2.8
# Polymorph energy (0 for the lowest one), eV/atom: 0.151
# V, Å³ per atom: 31.14
# E_tot, eV/f.u.: -13.40
data_PmThMg
_symmetry_space_group_name_H-M 'P 1'
_symmetry_Int_Tables_number 1
_symmetry_space_group_name_Hall 'P 1'
_cell_length_a 4.8373
_cell_length_b 4.8373
_cell_length_c 8.1598
_cell_angle_alpha 98.42
_cell_angle_beta 98.42
_cell_angle_gamma 88.79
loop_
_atom_site_label
_atom_site_type_symbol
_atom_site_fract_x
_atom_site_fract_y
_atom_site_fract_z
Th1 Th 0.5000 0.0000 0.0000
Th2 Th 0.0000 0.5000 0.0000
Mg1 Mg 0.4247 0.4247 0.6920
Mg2 Mg 0.5753 0.5753 0.3080
Pm1 Pm 0.0952 0.0952 0.3298
Pm2 Pm 0.9048 0.9048 0.6702

=====

# YFe2 PBE optimized geometry
# Calculated formation energy, kcal/mol of atoms: 2.6
# V, Å³ per atom: 17.80
# E_tot, eV/f.u.: -23.05
data_YFe2
_symmetry_space_group_name_H-M 'P 1'
_symmetry_Int_Tables_number 1
_symmetry_space_group_name_Hall 'P 1'
_cell_length_a 5.2657
_cell_length_b 3.9093
_cell_length_c 10.3737
_cell_angle_alpha 90.00
_cell_angle_beta 90.00
_cell_angle_gamma 90.00
loop_
_atom_site_label
_atom_site_type_symbol
_atom_site_fract_x
_atom_site_fract_y
_atom_site_fract_z
Y1 Y 0.6182 0.2500 0.6367
Y2 Y 0.3818 0.7500 0.3633
Y3 Y 0.1182 0.2500 0.8633
Y4 Y 0.8818 0.7500 0.1367
Fe1 Fe 0.6325 0.7500 0.8417
Fe2 Fe 0.1083 0.2500 0.5408
Fe3 Fe 0.6083 0.2500 0.9592
Fe4 Fe 0.3675 0.2500 0.1583
Fe5 Fe 0.8675 0.2500 0.3417
Fe6 Fe 0.1325 0.7500 0.6583
Fe7 Fe 0.8917 0.7500 0.4592
Fe8 Fe 0.3917 0.7500 0.0408

=====

# CdBW2 PBE optimized geometry
# Calculated formation energy, kcal/mol of atoms: 32.7
# Polymorph energy (0 for the lowest one), eV/atom: 0.138
# V, Å³ per atom: 18.99
# E_tot, eV/f.u.: -27.83
data_CdBW2
_symmetry_space_group_name_H-M 'P 1'
_symmetry_Int_Tables_number 1
_symmetry_space_group_name_Hall 'P 1'
_cell_length_a 4.5610
_cell_length_b 4.5610
_cell_length_c 7.9826
_cell_angle_alpha 73.40
_cell_angle_beta 73.40
_cell_angle_gamma 90.00
loop_
_atom_site_label
_atom_site_type_symbol
_atom_site_fract_x
_atom_site_fract_y
_atom_site_fract_z
B1 B 0.5000 0.5000 0.0000
B2 B 0.2500 0.7500 0.5000
Cd1 Cd 0.0000 0.0000 0.0000
Cd2 Cd 0.7500 0.2500 0.5000
W1 W 0.3750 0.4985 0.7500
W2 W 0.2485 0.6250 0.2500
W3 W 0.8750 0.7515 0.7500
W4 W 0.5015 0.1250 0.2500

=====

- What is the formula in the third record?
  SrLaP

=====

- What is the V in the eighth record?
  26.70 Å³ per atom

=====

Repeat the fourth record exactly.
# TmMnRu PBE optimized geometry
# Calculated formation energy, kcal/mol of atoms: 7.3
# Polymorph energy (0 for the lowest one), eV/atom: 0.562
# V, Å³ per atom: 19.99
# E_tot, eV/f.u.: -21.96
data_TmMnRu
_symmetry_space_group_name_H-M 'P 1'
_symmetry_Int_Tables_number 1
_symmetry_space_group_name_Hall 'P 1'
_cell_length_a 6.5354
_cell_length_b 6.5354
_cell_length_c 5.6164
_cell_angle_alpha 90.00
_cell_angle_beta 90.00
_cell_angle_gamma 90.00
loop_
_atom_site_label
_atom_site_type_symbol
_atom_site_fract_x
_atom_site_fract_y
_atom_site_fract_z
Tm1 Tm 0.2657 0.2657 0.5000
Tm2 Tm 0.7343 0.7343 0.0000
Tm3 Tm 0.2343 0.7657 0.7500
Tm4 Tm 0.7657 0.2343 0.2500
Ru1 Ru 0.1888 0.1888 0.0000
Ru2 Ru 0.3112 0.6888 0.2500
Ru3 Ru 0.8112 0.8112 0.5000
Ru4 Ru 0.6888 0.3112 0.7500
Mn1 Mn 0.9372 0.0628 0.7500
Mn2 Mn 0.4372 0.4372 0.0000
Mn3 Mn 0.0628 0.9372 0.2500
Mn4 Mn 0.5628 0.5628 0.5000